Entry 1:
Material: Fe2CoTe
Method: DFT, PBE
State: optimized geometry

abc: 7.733 7.733 7.733
angles: 22.76 22.76 22.76
Last column: magnetic moment on the atom in μB.
Element x y z (fractional)
Fe  0.001  0.001  0.001  2.79
Co  0.743  0.743  0.743  1.34
Fe  0.256  0.256  0.256  2.40
Te  0.499  0.499  0.499  -0.03

space group	R3m, No. 160
formation energy (no corrections)	494	meV/atom
M_tot	6.39	Bohr magnetons per cell
calculated volume	15.2	Å³ per atom
DOS(E_F)	3.34	states/eV per cell
crystal system	trigonal

***

Entry 2:
Material: FeCo2Te
Method: DFT, PBE
State: optimized geometry

abc: 3.672 3.672 3.726
angles: 90.00 90.00 90.00
Last column: magnetic moment on the atom in μB.
Element x y z (fractional)
Co  0.000  0.000  0.000  0.00
Te  0.000  0.500  0.500  -0.01
Fe  0.500  0.000  0.500  0.30
Co  0.500  0.500  0.000  0.00

space group	P4/mmm, No. 123
formation energy (no corrections)	273	meV/atom
M_tot	0.28	Bohr magnetons per cell
calculated volume	12.6	Å³ per atom
DOS(E_F)	3.85	states/eV per cell
crystal system	tetragonal

***

Entry 3:
Material: FeCoTe2
Method: DFT, PBE
State: optimized geometry

abc: 5.683 5.683 6.941
angles: 65.83 65.83 90.00
Last column: magnetic moment on the atom in μB.
Element x y z (fractional)
Fe  0.500  0.500  0.000  0.31
Te  0.375  0.376  0.750  -0.01
Co  0.750  0.250  0.500  0.48
Co  0.000  0.000  0.000  0.48
Fe  0.250  0.750  0.500  0.31
Te  0.624  0.125  0.250  -0.01
Te  0.126  0.625  0.250  -0.01
Te  0.875  0.874  0.750  -0.01

space group	I-42d, No. 122
formation energy (no corrections)	274	meV/atom
M_tot	1.65	Bohr magnetons per cell
calculated volume	22.8	Å³ per atom
DOS(E_F)	9.96	states/eV per cell
crystal system	tetragonal

***

Entry 4:
Material: Fe2CoTe
Method: DFT, PBE
State: optimized geometry

abc: 4.525 4.525 4.525
angles: 128.88 128.89 75.19
Last column: magnetic moment on the atom in μB.
Element x y z (fractional)
Co  0.250  0.750  0.500  1.14
Fe  0.000  0.000  0.000  2.64
Te  0.500  0.500  0.000  0.01
Fe  0.750  0.250  0.500  2.20

space group	I-4m2, No. 119
formation energy (no corrections)	259	meV/atom
M_tot	5.96	Bohr magnetons per cell
calculated volume	13.7	Å³ per atom
DOS(E_F)	4.20	states/eV per cell
crystal system	tetragonal

***

Entry 5:
Material: FeCoTe2
Method: DFT, PBE
State: optimized geometry

abc: 3.300 3.302 7.307
angles: 62.96 90.00 90.00
Last column: magnetic moment on the atom in μB.
Element x y z (fractional)
Fe  0.500  0.750  0.750  2.34
Co  0.500  0.250  0.250  -1.09
Te  0.000  0.997  0.001  -0.03
Te  0.000  0.503  0.499  -0.03

space group	P2/m, No. 10
formation energy (no corrections)	430	meV/atom
M_tot	1.14	Bohr magnetons per cell
calculated volume	17.7	Å³ per atom
DOS(E_F)	5.28	states/eV per cell
crystal system	monoclinic

***

Entry 6:
Material: FeCoTe2
Method: DFT, PBE
State: optimized geometry

abc: 4.597 4.597 3.295
angles: 89.98 89.98 89.98
Last column: magnetic moment on the atom in μB.
Element x y z (fractional)
Te  0.000  0.000  0.000  -0.03
Co  0.500  0.000  0.500  0.68
Te  0.500  0.500  0.000  -0.03
Fe  0.000  0.500  0.500  2.10

space group	P4/mmm, No. 123
formation energy (no corrections)	442	meV/atom
M_tot	2.61	Bohr magnetons per cell
calculated volume	17.4	Å³ per atom
DOS(E_F)	3.61	states/eV per cell
crystal system	tetragonal

***

Entry 7:
Material: FeCo2Te
Method: DFT, PBE
State: optimized geometry

abc: 4.693 4.693 3.697
angles: 66.82 66.82 46.39
Last column: magnetic moment on the atom in μB.
Element x y z (fractional)
Co  0.000  0.000  0.000  1.21
Co  0.750  0.750  0.750  0.99
Fe  0.500  0.500  0.500  2.49
Te  0.250  0.250  0.250  -0.01

space group	I-4m2, No. 119
formation energy (no corrections)	232	meV/atom
M_tot	4.61	Bohr magnetons per cell
calculated volume	13.3	Å³ per atom
DOS(E_F)	3.60	states/eV per cell
crystal system	tetragonal

***

Entry 8:
Material: Fe2CoTe
Method: DFT, PBE
State: optimized geometry

abc: 7.629 7.629 7.629
angles: 23.47 23.47 23.47
Last column: magnetic moment on the atom in μB.
Element x y z (fractional)
Te  0.250  0.250  0.250  -0.08
Co  0.750  0.750  0.750  1.85
Fe  0.010  0.010  0.010  2.57
Fe  0.490  0.490  0.490  2.57

space group	R-3m, No. 166
formation energy (no corrections)	522	meV/atom
M_tot	6.80	Bohr magnetons per cell
calculated volume	15.5	Å³ per atom
DOS(E_F)	3.53	states/eV per cell
crystal system	trigonal

***

Entry 9:
Material: Fe2CoTe
Method: DFT, PBE
State: optimized geometry

abc: 3.144 3.144 5.747
angles: 90.00 90.00 90.00
Last column: magnetic moment on the atom in μB.
Element x y z (fractional)
Te  0.000  0.000  0.493  -0.06
Co  0.500  0.500  0.778  1.37
Fe  0.500  0.500  0.233  2.02
Fe  0.000  0.000  0.996  2.81

space group	P4mm, No. 99
formation energy (no corrections)	300	meV/atom
M_tot	6.06	Bohr magnetons per cell
calculated volume	14.2	Å³ per atom
DOS(E_F)	3.05	states/eV per cell
crystal system	tetragonal

***

Entry 10:
Material: FeCoTe2
Method: DFT, PBE
State: optimized geometry

abc: 4.816 4.816 4.816
angles: 60.00 60.00 60.00
Last column: magnetic moment on the atom in μB.
Element x y z (fractional)
Fe  0.250  0.250  0.250  2.92
Co  0.500  0.500  0.500  1.53
Te  0.000  0.000  0.000  -0.01
Te  0.750  0.750  0.750  0.01

space group	F-43m, No. 216
formation energy (no corrections)	915	meV/atom
M_tot	4.43	Bohr magnetons per cell
calculated volume	19.7	Å³ per atom
DOS(E_F)	6.82	states/eV per cell
crystal system	cubic

***

Entry 11:
Material: FeCoTe2
Method: DFT, PBE
State: optimized geometry

abc: 3.398 3.398 7.223
angles: 90.00 90.00 90.00
Last column: magnetic moment on the atom in μB.
Element x y z (fractional)
Te  0.500  0.500  0.372  -0.02
Te  0.000  0.000  0.880  -0.04
Co  0.000  0.000  0.531  0.14
Fe  0.500  0.500  0.717  2.20

space group	P4mm, No. 99
formation energy (no corrections)	87	meV/atom
M_tot	2.34	Bohr magnetons per cell
calculated volume	20.8	Å³ per atom
DOS(E_F)	4.30	states/eV per cell
crystal system	tetragonal

***

Entry 12:
Material: Fe4CoTe
Method: DFT, PBE
State: optimized geometry

abc: 4.845 4.845 4.845
angles: 60.00 60.00 60.00
Last column: magnetic moment on the atom in μB.
Element x y z (fractional)
Co  0.000  0.000  0.000  1.76
Fe  0.374  0.374  0.374  2.30
Te  0.750  0.750  0.750  0.03
Fe  0.374  0.374  0.877  2.30
Fe  0.374  0.877  0.374  2.30
Fe  0.877  0.374  0.374  2.30

space group	F-43m, No. 216
formation energy (no corrections)	334	meV/atom
M_tot	11.00	Bohr magnetons per cell
calculated volume	13.4	Å³ per atom
DOS(E_F)	8.65	states/eV per cell
crystal system	cubic